[1]
Material: BeZn2W
Method: DFT, PBE
State: optimized geometry

Values from the calculation:
Symmetry: R-3m (166)
DOS at the Fermi energy: 1.893 states/eV/cell
M_tot: 0.0 μB per formula unit

Lattice parameters (Å, degrees): 8.6358 8.6358 8.6358 18.29 18.29 18.29
With the nearest neighbours (Å) after each atom.
Atoms (fractional coordinates):
Be (0.0000, 0.0000, 0.0000)  6 Zn 2.50, 6 Be 2.74
Zn (0.2574, 0.2574, 0.2574)  3 Be 2.50, 6 Zn 2.74
Zn (0.7426, 0.7426, 0.7426)  3 Be 2.50, 6 Zn 2.74
W (0.5000, 0.5000, 0.5000)  6 W 2.74, 6 Zn 2.80



[2]
Material: BeZnW2
Method: DFT, PBE
State: optimized geometry

Values from the calculation:
Symmetry: P4mm (99)
DOS at the Fermi energy: 2.229 states/eV/cell
M_tot: 0.0 μB per formula unit
Relative energy among the computed polymorphs: 86.6 meV per atom

Lattice parameters (Å, degrees): 2.7065 2.7065 7.5209 90.00 90.00 90.00
With the nearest neighbours (Å) after each atom.
Atoms (fractional coordinates):
Be (0.0000, 0.0000, 0.0000)  4 Zn 2.43, 4 W 2.55, 4 Be 2.71
Zn (0.5000, 0.5000, 0.8004)  4 Be 2.43, 4 Zn 2.71
W (0.0000, 0.0000, 0.5294)  8 W 2.71-2.98, 4 Zn 2.80
W (0.5000, 0.5000, 0.2248)  4 Be 2.55, 4 W 2.71



no.,E (eV/atom)
1,-4.46
2,-7.47